[1]
Crystalline NiSn2Bi2Pt7 at its relaxed geometry. Source: Alexandria via LeMat-Bulk, functional PBE.

SG: I4/mmm
Calculated volume in A^3/atom: 21.035
VASP energy in eV per atom: -5.55
Total magnetic moment in μB/cell: 0.0
D(E_F) in states/eV/f.u.: 8.006
E_form in eV/atom: -0.23

Cell lengths 16.462, 16.462, 16.462 Å; angles 166.24, 166.24, 19.51 degrees
Atoms (fractional coordinates):
Ni: 0.000 0.000 0.000
Sn: 0.383 0.383 0.000
Sn: 0.617 0.617 0.000
Bi: 0.213 0.213 0.000
Bi: 0.787 0.787 0.000
Pt: 0.060 0.560 0.500
Pt: 0.302 0.302 0.000
Pt: 0.440 0.940 0.500
Pt: 0.500 0.500 0.000
Pt: 0.560 0.060 0.500
Pt: 0.698 0.698 0.000
Pt: 0.940 0.440 0.500

[2]
Crystalline NiBi2PtW at its relaxed geometry. Source: Alexandria via LeMat-Bulk, functional PBE.

SG: P4/mmm
Calculated volume in A^3/atom: 22.660
VASP energy in eV per atom: -5.37
Total magnetic moment in μB/cell: 1.5
D(E_F) in states/eV/f.u.: 4.743
E_form in eV/atom: 1.13

Cell lengths 4.963, 4.963, 4.599 Å; angles 90.00, 90.00, 90.00 degrees
Atoms (fractional coordinates):
Ni: 0.000 0.000 0.000
Bi: 0.000 0.500 0.000
Bi: 0.500 0.000 0.000
Pt: 0.500 0.500 0.500
W: 0.000 0.000 0.500

[3]
Crystalline PuNi2Bi at its relaxed geometry. Source: Alexandria via LeMat-Bulk, functional PBE.

SG: P4/mmm
Calculated volume in A^3/atom: 18.923
VASP energy in eV per atom: -7.37
Total magnetic moment in μB/cell: 5.4
D(E_F) in states/eV/f.u.: 13.796
E_form in eV/atom: 0.07

Cell lengths 4.634, 4.634, 3.524 Å; angles 90.00, 90.00, 90.00 degrees
Atoms (fractional coordinates):
Pu: 0.000 0.000 0.000
Ni: 0.000 0.500 0.500
Ni: 0.500 0.000 0.500
Bi: 0.500 0.500 0.000

[4]
Crystalline PuNiBi at its relaxed geometry. Source: Alexandria via LeMat-Bulk, functional PBE.

SG: P3m1
Calculated volume in A^3/atom: 23.613
VASP energy in eV per atom: -8.17
Total magnetic moment in μB/cell: 5.2
D(E_F) in states/eV/f.u.: 13.733
E_form in eV/atom: -0.17

Cell lengths 4.414, 4.414, 4.198 Å; angles 90.00, 90.00, 120.00 degrees
Atoms (fractional coordinates):
Pu: 0.000 0.000 0.000
Ni: 0.333 0.667 0.609
Bi: 0.667 0.333 0.488

[5]
Crystalline PuNi4Bi at its relaxed geometry. Source: Alexandria via LeMat-Bulk, functional PBE.

SG: F-43m
Calculated volume in A^3/atom: 15.450
VASP energy in eV per atom: -6.99
Total magnetic moment in μB/cell: 3.8
D(E_F) in states/eV/f.u.: 17.223
E_form in eV/atom: -0.10

Cell lengths 5.080, 5.080, 5.080 Å; angles 60.00, 60.00, 60.00 degrees
Atoms (fractional coordinates):
Pu: 0.000 0.000 0.000
Ni: 0.374 0.374 0.374
Ni: 0.374 0.374 0.878
Ni: 0.374 0.878 0.374
Ni: 0.878 0.374 0.374
Bi: 0.750 0.750 0.750

[6]
Crystalline Pu3Ni3Bi4 at its relaxed geometry. Source: Alexandria via LeMat-Bulk, functional PBE.

SG: I-43d
Calculated volume in A^3/atom: 23.054
VASP energy in eV per atom: -7.86
Total magnetic moment in μB/cell: 28.8
D(E_F) in states/eV/f.u.: 42.268
E_form in eV/atom: -0.27

Cell lengths 8.429, 8.429, 8.429 Å; angles 109.47, 109.47, 109.47 degrees
Atoms (fractional coordinates):
Pu: 0.125 0.875 0.250
Pu: 0.250 0.125 0.875
Pu: 0.375 0.625 0.750
Pu: 0.625 0.750 0.375
Pu: 0.750 0.375 0.625
Pu: 0.875 0.250 0.125
Ni: 0.125 0.750 0.875
Ni: 0.250 0.625 0.375
Ni: 0.375 0.250 0.625
Ni: 0.625 0.375 0.250
Ni: 0.750 0.875 0.125
Ni: 0.875 0.125 0.750
Bi: 0.000 0.160 0.500
Bi: 0.000 0.660 0.500
Bi: 0.160 0.500 0.000
Bi: 0.340 0.340 0.340
Bi: 0.500 0.000 0.160
Bi: 0.500 0.000 0.660
Bi: 0.660 0.500 0.000
Bi: 0.840 0.840 0.840

[7]
Crystalline PuNiBi2 at its relaxed geometry. Source: Alexandria via LeMat-Bulk, functional PBE.

SG: R-3m
Calculated volume in A^3/atom: 26.799
VASP energy in eV per atom: -6.77
Total magnetic moment in μB/cell: 19.1
D(E_F) in states/eV/f.u.: 10.590
E_form in eV/atom: 0.20

Cell lengths 3.477, 3.477, 30.717 Å; angles 90.00, 90.00, 120.00 degrees
Atoms (fractional coordinates):
Pu: 0.000 0.000 0.000
Pu: 0.333 0.667 0.667
Pu: 0.667 0.333 0.333
Ni: 0.000 0.000 0.500
Ni: 0.333 0.667 0.167
Ni: 0.667 0.333 0.833
Bi: 0.000 0.000 0.107
Bi: 0.000 0.000 0.893
Bi: 0.333 0.667 0.560
Bi: 0.333 0.667 0.774
Bi: 0.667 0.333 0.226
Bi: 0.667 0.333 0.440

[8]
Crystalline PuNiBi at its relaxed geometry. Source: Alexandria via LeMat-Bulk, functional PBE.

SG: I4mm
Calculated volume in A^3/atom: 22.279
VASP energy in eV per atom: -8.01
Total magnetic moment in μB/cell: 10.3
D(E_F) in states/eV/f.u.: 11.651
E_form in eV/atom: -0.01

Cell lengths 3.373, 3.373, 11.749 Å; angles 90.00, 90.00, 90.00 degrees
Atoms (fractional coordinates):
Pu: 0.000 0.000 0.000
Pu: 0.500 0.500 0.500
Ni: 0.000 0.000 0.637
Ni: 0.500 0.500 0.137
Bi: 0.000 0.000 0.282
Bi: 0.500 0.500 0.782

[9]
Crystalline PuNiBiRh at its relaxed geometry. Source: Alexandria via LeMat-Bulk, functional PBE.

SG: F-43m
Calculated volume in A^3/atom: 19.359
VASP energy in eV per atom: -7.99
Total magnetic moment in μB/cell: 19.0
D(E_F) in states/eV/f.u.: 11.113
E_form in eV/atom: -0.16

Cell lengths 6.766, 6.766, 6.766 Å; angles 90.00, 90.00, 90.00 degrees
Atoms (fractional coordinates):
Pu: 0.000 0.000 0.000
Pu: 0.000 0.500 0.500
Pu: 0.500 0.000 0.500
Pu: 0.500 0.500 0.000
Ni: 0.250 0.250 0.250
Ni: 0.250 0.750 0.750
Ni: 0.750 0.250 0.750
Ni: 0.750 0.750 0.250
Bi: 0.000 0.000 0.500
Bi: 0.000 0.500 0.000
Bi: 0.500 0.000 0.000
Bi: 0.500 0.500 0.500
Rh: 0.250 0.250 0.750
Rh: 0.250 0.750 0.250
Rh: 0.750 0.250 0.250
Rh: 0.750 0.750 0.750

[10]
Crystalline RbNi2Bi2 at its relaxed geometry. Source: Alexandria via LeMat-Bulk, functional PBE.

SG: I4/mmm
Energy relative to the lowest polymorph listed for this composition in meV per atom: 175
Calculated volume in A^3/atom: 29.121
VASP energy in eV per atom: -3.91
Total magnetic moment in μB/cell: 0.0
D(E_F) in states/eV/f.u.: 4.129
E_form in eV/atom: 0.15

Cell lengths 4.894, 4.894, 12.161 Å; angles 90.00, 90.00, 90.00 degrees
Atoms (fractional coordinates):
Rb: 0.000 0.000 0.000
Rb: 0.500 0.500 0.500
Ni: 0.000 0.000 0.337
Ni: 0.000 0.000 0.663
Ni: 0.500 0.500 0.163
Ni: 0.500 0.500 0.837
Bi: 0.000 0.500 0.250
Bi: 0.000 0.500 0.750
Bi: 0.500 0.000 0.250
Bi: 0.500 0.000 0.750

[11]
Crystalline Rb3NiBi at its relaxed geometry. Source: Alexandria via LeMat-Bulk, functional PBE.

SG: Pm-3m
Energy relative to the lowest polymorph listed for this composition in meV per atom: 0
Calculated volume in A^3/atom: 50.514
VASP energy in eV per atom: -2.05
Total magnetic moment in μB/cell: 2.0
D(E_F) in states/eV/f.u.: 13.658
E_form in eV/atom: 0.46

Cell lengths 6.321, 6.321, 6.321 Å; angles 90.00, 90.00, 90.00 degrees
Atoms (fractional coordinates):
Rb: 0.000 0.000 0.500
Rb: 0.000 0.500 0.000
Rb: 0.500 0.000 0.000
Ni: 0.000 0.000 0.000
Bi: 0.500 0.500 0.500

[12]
Crystalline RbNi2Bi2 at its relaxed geometry. Source: Alexandria via LeMat-Bulk, functional PBE.

SG: P4/mbm
Energy relative to the lowest polymorph listed for this composition in meV per atom: 208
Calculated volume in A^3/atom: 24.817
VASP energy in eV per atom: -3.88
Total magnetic moment in μB/cell: 0.0
D(E_F) in states/eV/f.u.: 4.101
E_form in eV/atom: 0.18

Cell lengths 8.601, 8.601, 3.355 Å; angles 90.00, 90.00, 90.00 degrees
Atoms (fractional coordinates):
Rb: 0.000 0.000 0.000
Rb: 0.500 0.500 0.000
Ni: 0.107 0.393 0.000
Ni: 0.393 0.893 0.000
Ni: 0.607 0.107 0.000
Ni: 0.893 0.607 0.000
Bi: 0.145 0.645 0.500
Bi: 0.355 0.145 0.500
Bi: 0.645 0.855 0.500
Bi: 0.855 0.355 0.500

[13]
Crystalline RbNi2Bi2 at its relaxed geometry. Source: Alexandria via LeMat-Bulk, functional PBE.

SG: I4/mmm
Energy relative to the lowest polymorph listed for this composition in meV per atom: 0
Calculated volume in A^3/atom: 27.341
VASP energy in eV per atom: -4.09
Total magnetic moment in μB/cell: 0.0
D(E_F) in states/eV/f.u.: 3.157
E_form in eV/atom: -0.03

Cell lengths 4.604, 4.604, 12.901 Å; angles 90.00, 90.00, 90.00 degrees
Atoms (fractional coordinates):
Rb: 0.000 0.000 0.000
Rb: 0.500 0.500 0.500
Ni: 0.000 0.500 0.250
Ni: 0.000 0.500 0.750
Ni: 0.500 0.000 0.250
Ni: 0.500 0.000 0.750
Bi: 0.000 0.000 0.344
Bi: 0.000 0.000 0.656
Bi: 0.500 0.500 0.156
Bi: 0.500 0.500 0.844